No. 1
This record from the Alexandria database describes CuTe2RhI after structural relaxation. The functional is PBE.

Cell lengths 5.1804, 5.1804, 5.5574 Å; angles 90.00, 90.00, 90.00 degrees
Last column: nearest neighbours and their distance in Å.
Fractional positions:
Cu 0.0000 0.0000 0.0000  4 I 3.66, 8 Te 3.80
Te 0.0000 0.5000 0.5000  2 Rh 2.59
Te 0.5000 0.0000 0.5000  2 Rh 2.59
Rh 0.5000 0.5000 0.5000  4 Te 2.59, 2 I 2.78
I 0.5000 0.5000 0.0000  2 Rh 2.78

- energy relative to the elements, uncorrected (meV per atom) = 608

---

No. 2
This record from the Alexandria database describes SrIn3Bi after structural relaxation. The functional is PBE.

Cell lengths 5.8791, 5.8791, 5.8791 Å; angles 90.00, 90.00, 90.00 degrees
Last column: nearest neighbours and their distance in Å.
Fractional positions:
Sr 0.0000 0.0000 0.0000  12 In 4.16
In 0.0000 0.5000 0.5000  2 Bi 2.94
In 0.5000 0.0000 0.5000  2 Bi 2.94
In 0.5000 0.5000 0.0000  2 Bi 2.94
Bi 0.5000 0.5000 0.5000  6 In 2.94

- formation energy (eV/f.u.) = 1.18

---

no.,magnetic moment (μB/atom)
1,0.000
2,0.000